Entry 1:
{
  "formula": "TlInBiPb2",
  "functional": "PBE",
  "state": "optimized geometry",
  "lattice_angstrom": [[6.8854, 0.0000, 0.0000], [0.0000, 7.0547, 0.0000], [0.0000, -3.5274, 7.2586]],
  "species": ["Bi", "Bi", "Tl", "Tl", "Pb", "Pb", "Pb", "Pb", "In", "In"],
  "frac_coords": [[0.7500, 0.3487, 0.6974], [0.2500, 0.6513, 0.3026], [0.7500, 0.7623, 0.5245], [0.2500, 0.2377, 0.4755], [0.5000, 0.7483, 0.0000], [0.0000, 0.2517, 0.0000], [0.0000, 0.7483, 0.0000], [0.5000, 0.2517, 0.0000], [0.2500, 0.8598, 0.7195], [0.7500, 0.1402, 0.2805]],
  "energy_ev_per_atom": -3.208,
  "magnetic_moment_mub_per_cell": 0.00,
  "dos_ef_per_ev_cell": 4.55
}



Entry 2:
{
  "formula": "TlIn2BiPb",
  "functional": "PBE",
  "state": "optimized geometry",
  "lattice_angstrom": [[-3.0664, 1.1328, -5.1880], [0.3879, -6.0336, -1.5467], [-7.4146, 1.5411, 4.7190]],
  "species": ["In", "In", "In", "In", "Bi", "Bi", "Pb", "Pb", "Tl", "Tl"],
  "frac_coords": [[0.5000, 0.7476, 0.0000], [0.5000, 0.2524, 0.0000], [0.0000, 0.7476, 0.0000], [0.0000, 0.2524, 0.0000], [0.2500, 0.6524, 0.3048], [0.7500, 0.3476, 0.6952], [0.7500, 0.7628, 0.5255], [0.2500, 0.2372, 0.4745], [0.7500, 0.1475, 0.2950], [0.2500, 0.8525, 0.7050]],
  "energy_ev_per_atom": -2.997,
  "magnetic_moment_mub_per_cell": 0.00,
  "dos_ef_per_ev_cell": 4.04
}



Entry 3:
{
  "formula": "TlIn3BiPb",
  "functional": "PBE",
  "state": "optimized geometry",
  "lattice_angstrom": [[-0.2079, -3.1477, -3.9132], [-0.6735, -6.0803, 4.9266], [-8.6126, 4.5986, -3.2413]],
  "species": ["In", "In", "In", "In", "In", "In", "Tl", "Tl", "Pb", "Pb", "Bi", "Bi"],
  "frac_coords": [[0.2500, 0.1225, 0.9605], [0.7500, 0.8775, 0.0395], [0.2500, 0.6248, 0.4548], [0.7500, 0.3881, 0.2216], [0.7500, 0.3752, 0.5452], [0.2500, 0.6119, 0.7784], [0.7500, 0.8789, 0.3728], [0.2500, 0.1211, 0.6272], [0.7500, 0.8621, 0.7147], [0.2500, 0.1379, 0.2853], [0.7500, 0.3655, 0.8896], [0.2500, 0.6345, 0.1104]],
  "energy_ev_per_atom": -3.011,
  "magnetic_moment_mub_per_cell": 0.00,
  "dos_ef_per_ev_cell": 4.54
}



Entry 4:
{
  "formula": "TlInBiPb",
  "functional": "PBE",
  "state": "optimized geometry",
  "lattice_angstrom": [[4.6865, 0.0000, 0.0000], [0.0000, 4.9945, 0.0000], [-2.3432, -2.4972, 5.2999]],
  "species": ["Pb", "In", "Bi", "Tl"],
  "frac_coords": [[0.1968, 0.6968, 0.3937], [0.9466, 0.9466, 0.8931], [0.6928, 0.1928, 0.3857], [0.4460, 0.4460, 0.8919]],
  "magnetic_moment_mub_per_cell": 0.00,
  "dos_ef_per_ev_cell": 1.82,
  "polymorph_energy_ev_per_atom": 0.000
}



Entry 5:
{
  "formula": "Tl3InBiPb",
  "functional": "PBE",
  "state": "optimized geometry",
  "lattice_angstrom": [[3.4792, 0.0000, 0.0000], [0.0000, 10.6347, 0.7193], [0.0000, -4.3003, 9.7641]],
  "species": ["Tl", "Tl", "Tl", "Tl", "Tl", "Tl", "In", "In", "Bi", "Bi", "Pb", "Pb"],
  "frac_coords": [[0.2500, 0.6223, 0.4573], [0.7500, 0.3777, 0.5427], [0.7500, 0.8821, 0.0480], [0.2500, 0.6385, 0.7943], [0.2500, 0.1179, 0.9520], [0.7500, 0.3615, 0.2057], [0.7500, 0.8678, 0.3706], [0.2500, 0.1322, 0.6294], [0.7500, 0.8900, 0.6831], [0.2500, 0.1100, 0.3169], [0.2500, 0.6239, 0.1275], [0.7500, 0.3761, 0.8725]],
  "energy_ev_per_atom": -2.907,
  "magnetic_moment_mub_per_cell": 0.00,
  "dos_ef_per_ev_cell": 4.87
}



Entry 6:
{
  "formula": "Tl4In2Bi2Pb",
  "functional": "PBE",
  "state": "optimized geometry",
  "lattice_angstrom": [[-3.8977, 1.6507, 5.3849], [5.0412, -4.1358, 4.8503], [0.9462, 6.1904, -2.5349]],
  "species": ["Tl", "Tl", "Tl", "Tl", "In", "In", "Pb", "Bi", "Bi"],
  "frac_coords": [[0.4157, 0.2863, 0.1378], [0.3011, 0.1607, 0.5447], [0.6989, 0.8393, 0.4553], [0.5843, 0.7137, 0.8622], [0.1567, 0.6122, 0.9335], [0.8433, 0.3878, 0.0665], [0.0000, 0.0000, 0.0000], [0.2150, 0.7278, 0.4866], [0.7850, 0.2722, 0.5134]],
  "energy_ev_per_atom": -2.901,
  "magnetic_moment_mub_per_cell": 0.00,
  "dos_ef_per_ev_cell": 3.90
}